No. 1
The following is a DFT calculation (PBEsol) of an optimized crystal structure of Li2V2Si2O9.

Unit cell a=8.294 b=5.224 c=14.045 alpha=90.00 beta=90.00 gamma=90.00
Space group Pbcn (No. 60)
Unique sites:
Li  0.031  0.057  0.155
V  0.157  0.403  0.827
Si  0.155  0.271  0.524
O  0.000  0.492  0.250
O  0.021  0.278  0.927
O  0.153  0.262  0.408
O  0.175  0.089  0.771
O  0.229  0.001  0.066

## Properties
For the raw formation energy, the calculation gives -2526 meV/atom.

No. 2
The following is a DFT calculation (PBEsol) of an optimized crystal structure of MnGa3Pd.

Unit cell a=4.463 b=4.463 c=4.463 alpha=90.00 beta=90.00 gamma=90.00
Space group Pm-3m (No. 221)
Unique sites:
Mn  0.000  0.000  0.000
Ga  0.000  0.000  0.500
Pd  0.500  0.500  0.500

## Properties
The formation energy is 0.358 eV per atom. The density of states at the Fermi level is 3.88 states/eV/f.u.

No. 3
The following is a DFT calculation (PBEsol) of an optimized crystal structure of ScSe2Cl.

Unit cell a=6.786 b=6.786 c=6.786 alpha=90.00 beta=90.00 gamma=90.00
Space group Fm-3m (No. 225)
Unique sites:
Sc  0.000  0.000  0.000
Se  0.250  0.250  0.250
Cl  0.000  0.000  0.500

## Properties
For the raw formation energy, the calculation gives -549 meV/atom. The density of states at the Fermi level is 5.89 states/eV/f.u. Its distance to the lowest polymorph of the same formula is 0.2862 eV per atom.

No. 4
The following is a DFT calculation (PBEsol) of an optimized crystal structure of NaH5CO4.

Unit cell a=7.117 b=14.312 c=8.515 alpha=90.00 beta=90.00 gamma=90.00
Space group Cmce (No. 64)
Unique sites:
Na  0.232  0.000  0.000
H  0.000  0.089  0.228
H  0.000  0.166  0.099
H  0.000  0.235  0.367
H  0.151  0.134  0.710
C  0.000  0.182  0.463
O  0.000  0.096  0.111
O  0.000  0.097  0.425
O  0.000  0.213  0.603
O  0.250  0.091  0.750

## Properties
The calculated total energy comes out at -5.5562 eV/atom. The density of states at the Fermi level is 0.00 states/eV/f.u.

No. 5
The following is a DFT calculation (PBEsol) of an optimized crystal structure of SrTcNi2.

Unit cell a=6.258 b=6.258 c=6.258 alpha=90.00 beta=90.00 gamma=90.00
Space group F-43m (No. 216)
Unique sites:
Sr  0.000  0.000  0.000
Tc  0.250  0.250  0.750
Ni  0.000  0.000  0.500
Ni  0.250  0.250  0.250

## Properties
The formation energy is 0.901 eV per atom. The density of states at the Fermi level is 7.57 states/eV/f.u. Its distance to the lowest polymorph of the same formula is 0.4010 eV per atom.

No. 6
The following is a DFT calculation (PBEsol) of an optimized crystal structure of Al5Si.

Unit cell a=4.095 b=11.960 c=3.864 alpha=90.00 beta=90.00 gamma=90.00
Space group Cmmm (No. 65)
Unique sites:
Al  0.000  0.000  0.000
Al  0.000  0.167  0.500
Al  0.000  0.335  0.000
Si  0.000  0.500  0.500

## Properties
For the raw formation energy, the calculation gives 53 meV/atom. The density of states at the Fermi level is 2.33 states/eV/f.u. Its distance to the lowest polymorph of the same formula is 0.0000 eV per atom.

No. 7
The following is a DFT calculation (PBEsol) of an optimized crystal structure of Zn4Au5.

Unit cell a=7.7022 b=7.7022 c=5.4812 alpha=90.00 beta=90.00 gamma=120.00
Space group P6_3/mcm (No. 193)
Unique sites:
Zn  0.0000  0.0000  0.0000
Zn  0.0000  0.3642  0.2500
Au  0.0000  0.2982  0.7500
Au  0.3333  0.6667  0.0000

## Properties
The formation energy is -0.189 eV per atom. The density of states at the Fermi level is 1.68 states/eV/f.u. Its distance to the lowest polymorph of the same formula is 0.0000 eV per atom.

No. 8
The following is a DFT calculation (PBEsol) of an optimized crystal structure of LiMnCo2.

Unit cell a=2.452 b=3.652 c=4.953 alpha=90.00 beta=90.00 gamma=90.00
Space group Pmm2 (No. 25)
Unique sites:
Li  0.000  0.000  0.000
Mn  0.500  0.500  0.262
Co  0.000  0.000  0.519
Co  0.500  0.500  0.737

## Properties
The formation energy is 0.292 eV per atom. The density of states at the Fermi level is 4.23 states/eV/f.u. Its distance to the lowest polymorph of the same formula is 0.0375 eV per atom.